Entry 1:
VASP calculation (meta-GGA SCAN) on a PBEsol-optimized structure of Al3C.

abc: 3.0035 3.0035 6.8964
angles: 90.00 90.00 120.00
Last column: nearest neighbours and their distance in Å.
Space group P-6m2 (No. 187)
Inequivalent atoms, fractional coordinates:
Al 0.0000 0.0000 0.0000  12 Al 2.85-3.00
Al 0.6667 0.3333 0.3282  3 C 2.10
C 0.0000 0.0000 0.5000  6 Al 2.10

Summary:
The value obtained for the total DFT energy (no corrections) is -8.1275 eV/atom. Its density of states at the Fermi level is 0.235 states/eV per atom.



Entry 2:
VASP calculation (meta-GGA SCAN) on a PBEsol-optimized structure of Hg7Pb6.

abc: 6.0541 6.0541 31.8610
angles: 90.00 90.00 120.00
Last column: nearest neighbours and their distance in Å.
Space group R-3m (No. 166, hexagonal axes)
Inequivalent atoms, fractional coordinates:
Hg 0.0000 0.0000 0.0000  6 Hg 3.03
Hg 0.0039 0.5020 0.4107  5 Hg 2.99-3.06, 4 Pb 3.28-3.33
Pb 0.0000 0.0000 0.1647  6 Hg 3.30-3.38, 3 Pb 3.50
Pb 0.0000 0.0000 0.3452  12 Hg 3.33-3.68, 4 Pb 3.35-3.58
Pb 0.0000 0.0000 0.4503  2 Pb 3.16-3.35, 6 Hg 3.28

Summary:
The value obtained for the total DFT energy (no corrections) is -71.6058 eV/atom. Its density of states at the Fermi level is 0.461 states/eV per atom.



Entry 3:
VASP calculation (meta-GGA SCAN) on a PBEsol-optimized structure of SbAuS2.

abc: 4.0532 4.0532 22.0386
angles: 90.00 90.00 120.00
Last column: nearest neighbours and their distance in Å.
Space group R-3m (No. 166, hexagonal axes)
Inequivalent atoms, fractional coordinates:
Sb 0.0000 0.0000 0.0000  6 S 2.74
Au 0.0000 0.0000 0.5000  2 S 2.25
S 0.0000 0.0000 0.3979  1 Au 2.25

Summary:
The formation energy (no corrections) is -107 meV per atom. Its density of states at the Fermi level is 0.014 states/eV per atom.



Entry 4:
VASP calculation (meta-GGA SCAN) on a PBEsol-optimized structure of AgAsF2.

abc: 5.9675 5.9675 5.9675
angles: 90.00 90.00 90.00
Last column: nearest neighbours and their distance in Å.
Space group Fm-3m (No. 225)
Inequivalent atoms, fractional coordinates:
Ag 0.0000 0.0000 0.0000  8 F 2.58
As 0.0000 0.0000 0.5000  8 F 2.58
F 0.2500 0.2500 0.2500  4 As 2.58, 4 Ag 2.58

Summary:
The formation energy (no corrections) is -565 meV per atom. Its density of states at the Fermi level is 0.254 states/eV per atom.



Entry 5:
VASP calculation (meta-GGA SCAN) on a PBEsol-optimized structure of Ba2NiHgH.

abc: 6.1977 6.1977 3.8989
angles: 90.00 90.00 90.00
Last column: nearest neighbours and their distance in Å.
Space group P4/mmm (No. 123)
Inequivalent atoms, fractional coordinates:
Ba 0.0000 0.5000 0.0000  2 Hg 3.10
Ni 0.0000 0.0000 0.5000  8 Ba 3.66, 2 Ni 3.90
Hg 0.5000 0.5000 0.0000  2 H 1.95
H 0.5000 0.5000 0.5000  2 Hg 1.95

Summary:
The value obtained for the total DFT energy (no corrections) is -32.9876 eV/atom. Its density of states at the Fermi level is 0.832 states/eV per atom.



Entry 6:
VASP calculation (meta-GGA SCAN) on a PBEsol-optimized structure of Te2PtPbN.

abc: 5.6741 5.6741 3.6751
angles: 90.00 90.00 90.00
Last column: nearest neighbours and their distance in Å.
Space group P4/mmm (No. 123)
Inequivalent atoms, fractional coordinates:
Te 0.0000 0.5000 0.0000  2 Pt 2.84
Pt 0.0000 0.0000 0.0000  2 N 1.84
Pb 0.5000 0.5000 0.5000  8 Te 3.38, 2 Pb 3.68
N 0.0000 0.0000 0.5000  2 Pt 1.84

Summary:
The formation energy (no corrections) is 232 meV per atom. Its density of states at the Fermi level is 0.447 states/eV per atom.



Entry 7:
VASP calculation (meta-GGA SCAN) on a PBEsol-optimized structure of CuTc3O.

abc: 4.3985 4.3985 4.3985
angles: 90.00 90.00 90.00
Last column: nearest neighbours and their distance in Å.
Space group Pm-3m (No. 221)
Inequivalent atoms, fractional coordinates:
Cu 0.0000 0.0000 0.0000  6 Tc 2.20
Tc 0.0000 0.0000 0.5000  2 Cu 2.20
O 0.5000 0.5000 0.5000  12 Tc 3.11

Summary:
The formation energy (no corrections) is 2381 meV per atom. Its density of states at the Fermi level is 1.093 states/eV per atom.



Entry 8:
VASP calculation (meta-GGA SCAN) on a PBEsol-optimized structure of LuTaO4.

abc: 6.8494 10.7048 4.9970
angles: 90.00 131.06 90.00
Last column: nearest neighbours and their distance in Å.
Space group C2/c (No. 15)
Inequivalent atoms, fractional coordinates:
Lu 0.0000 0.1317 0.2500  8 O 2.22-2.39
Ta 0.0000 0.3973 0.7500  4 O 1.87-1.95
O 0.1628 0.2865 0.6604  1 Ta 1.87
O 0.2477 0.4698 0.2233  1 Ta 1.95

Summary:
The formation energy (no corrections) is -3585 meV per atom. Its density of states at the Fermi level is 0.000 states/eV per atom.



Entry 9:
VASP calculation (meta-GGA SCAN) on a PBEsol-optimized structure of GePt2Pb2.

abc: 3.7566 3.7566 15.7908
angles: 90.00 90.00 90.00
Last column: nearest neighbours and their distance in Å.
Space group I4/mmm (No. 139)
Inequivalent atoms, fractional coordinates:
Ge 0.0000 0.0000 0.0000  8 Pb 3.20
Pt 0.0000 0.5000 0.2500  4 Pt 2.66, 4 Pb 2.87
Pb 0.0000 0.0000 0.3871  4 Pt 2.87, 4 Ge 3.20

Summary:
The value obtained for the total DFT energy (no corrections) is -62.0604 eV/atom. Its density of states at the Fermi level is 0.539 states/eV per atom.



Entry 10:
VASP calculation (meta-GGA SCAN) on a PBEsol-optimized structure of MgInNi2.

abc: 6.0843 6.0843 6.0843
angles: 90.00 90.00 90.00
Last column: nearest neighbours and their distance in Å.
Space group Fm-3m (No. 225)
Inequivalent atoms, fractional coordinates:
Mg 0.0000 0.0000 0.0000  8 Ni 2.63
In 0.0000 0.0000 0.5000  8 Ni 2.63
Ni 0.2500 0.2500 0.2500  4 In 2.63, 4 Mg 2.63

Summary:
The value obtained for the total DFT energy (no corrections) is -17.8615 eV/atom. Its density of states at the Fermi level is 0.681 states/eV per atom.



Entry 11:
VASP calculation (meta-GGA SCAN) on a PBEsol-optimized structure of Ni2Os.

abc: 3.6067 10.7803 3.5796
angles: 90.00 90.00 90.00
Last column: nearest neighbours and their distance in Å.
Space group Cmcm (No. 63)
Inequivalent atoms, fractional coordinates:
Ni 0.0000 0.0833 0.2500  6 Ni 2.51-2.57, 6 Os 2.54-2.55
Ni 0.0000 0.2464 0.7500  8 Ni 2.51-2.57, 4 Os 2.52-2.56
Os 0.0000 0.4164 0.2500  10 Ni 2.52-2.56, 2 Os 2.54

Summary:
The value obtained for the total DFT energy (no corrections) is -34.6110 eV/atom. Its density of states at the Fermi level is 0.795 states/eV per atom.



Entry 12:
VASP calculation (meta-GGA SCAN) on a PBEsol-optimized structure of ZrCr2GaW.

abc: 4.4027 4.4027 4.6736
angles: 90.00 90.00 90.00
Last column: nearest neighbours and their distance in Å.
Space group P4/mmm (No. 123)
Inequivalent atoms, fractional coordinates:
Zr 0.0000 0.0000 0.0000  4 W 3.11, 8 Cr 3.21
Cr 0.0000 0.5000 0.5000  2 Ga 2.20
Ga 0.5000 0.5000 0.5000  4 Cr 2.20, 2 W 2.34
W 0.5000 0.5000 0.0000  2 Ga 2.34

Summary:
The value obtained for the total DFT energy (no corrections) is -29.7218 eV/atom. Its density of states at the Fermi level is 1.032 states/eV per atom.



Entry 13:
VASP calculation (meta-GGA SCAN) on a PBEsol-optimized structure of LiReBr2.

abc: 4.9568 3.2236 9.0817
angles: 90.00 90.00 90.00
Last column: nearest neighbours and their distance in Å.
Space group Amm2 (No. 38)
Inequivalent atoms, fractional coordinates:
Li 0.0000 0.0000 0.0000  3 Br 2.48-2.66
Re 0.5000 0.0000 0.3552  5 Br 2.51-2.60
Br 0.0000 0.0000 0.2928  3 Li 2.48-2.66, 2 Re 2.54
Br 0.5000 0.0000 0.6311  3 Re 2.51-2.60

Summary:
The formation energy (no corrections) is 295 meV per atom. Its density of states at the Fermi level is 0.345 states/eV per atom.



Entry 14:
VASP calculation (meta-GGA SCAN) on a PBEsol-optimized structure of SrLa2Te.

abc: 6.8095 12.0164 3.8291
angles: 90.00 122.54 90.00
Last column: nearest neighbours and their distance in Å.
Space group C2/m (No. 12)
Inequivalent atoms, fractional coordinates:
Sr 0.0000 0.0000 0.0000  4 Te 3.40-3.50, 4 La 3.48
La 0.2500 0.2500 0.5000  4 La 3.40-3.50, 2 Te 3.48, 2 Sr 3.48
Te 0.0000 0.5000 0.0000  4 Sr 3.40-3.50, 4 La 3.48

Summary:
The formation energy (no corrections) is -480 meV per atom. Its density of states at the Fermi level is 0.995 states/eV per atom.



Entry 15:
VASP calculation (meta-GGA SCAN) on a PBEsol-optimized structure of CrCo4P.

abc: 6.4098 6.4098 6.4098
angles: 90.00 90.00 90.00
Last column: nearest neighbours and their distance in Å.
Space group F-43m (No. 216)
Inequivalent atoms, fractional coordinates:
Cr 0.0000 0.0000 0.0000  12 Co 2.66, 4 P 2.78
Co 0.1252 0.1252 0.6252  6 Co 2.26-2.27
P 0.2500 0.2500 0.2500  12 Co 2.66, 4 Cr 2.78

Summary:
The value obtained for the total DFT energy (no corrections) is -15.9654 eV/atom. Its density of states at the Fermi level is 1.106 states/eV per atom.



Entry 16:
VASP calculation (meta-GGA SCAN) on a PBEsol-optimized structure of BaC3.

abc: 4.9022 4.9022 4.9022
angles: 90.00 90.00 90.00
Last column: nearest neighbours and their distance in Å.
Space group Pm-3n (No. 223)
Inequivalent atoms, fractional coordinates:
Ba 0.0000 0.0000 0.0000  12 C 2.74
C 0.0000 0.2500 0.5000  2 C 2.45, 4 Ba 2.74

Summary:
The value obtained for the total DFT energy (no corrections) is -13.8414 eV/atom. Its density of states at the Fermi level is 0.853 states/eV per atom.



Entry 17:
VASP calculation (meta-GGA SCAN) on a PBEsol-optimized structure of YCoIr2.

abc: 3.9598 3.9598 7.8227
angles: 90.00 90.00 90.00
Last column: nearest neighbours and their distance in Å.
Space group I-4m2 (No. 119)
Inequivalent atoms, fractional coordinates:
Y 0.0000 0.0000 0.0000  4 Co 2.78, 8 Ir 2.78-2.80
Co 0.0000 0.5000 0.7500  8 Ir 2.78-2.80, 4 Y 2.78
Ir 0.0000 0.0000 0.5000  4 Co 2.78, 4 Ir 2.78, 4 Y 2.80
Ir 0.0000 0.5000 0.2500  4 Ir 2.78, 4 Y 2.78, 4 Co 2.80

Summary:
The value obtained for the total DFT energy (no corrections) is -46.8897 eV/atom. Its density of states at the Fermi level is 0.961 states/eV per atom.



Entry 18:
VASP calculation (meta-GGA SCAN) on a PBEsol-optimized structure of IrS2NCl.

abc: 4.7931 4.7931 3.6533
angles: 90.00 90.00 90.00
Last column: nearest neighbours and their distance in Å.
Space group P4/mmm (No. 123)
Inequivalent atoms, fractional coordinates:
Ir 0.0000 0.0000 0.0000  2 N 1.83
S 0.0000 0.5000 0.0000  2 Ir 2.40
N 0.0000 0.0000 0.5000  2 Ir 1.83
Cl 0.5000 0.5000 0.5000  8 S 3.01

Summary:
The formation energy (no corrections) is 773 meV per atom. Its density of states at the Fermi level is 1.159 states/eV per atom.



Entry 19:
VASP calculation (meta-GGA SCAN) on a PBEsol-optimized structure of HPdN2.

abc: 2.8743 2.8743 14.1923
angles: 90.00 90.00 120.00
Last column: nearest neighbours and their distance in Å.
Space group R-3m (No. 166, hexagonal axes)
Inequivalent atoms, fractional coordinates:
H 0.0000 0.0000 0.0000  6 N 1.70
Pd 0.0000 0.0000 0.5000  2 N 1.98
N 0.0000 0.0000 0.3607  3 H 1.70, 3 N 1.83

Summary:
The value obtained for the total DFT energy (no corrections) is -11.9475 eV/atom. Its density of states at the Fermi level is 0.328 states/eV per atom.



Entry 20:
VASP calculation (meta-GGA SCAN) on a PBEsol-optimized structure of ZrMo2C.

abc: 2.9922 2.9922 6.4592
angles: 90.00 90.00 90.00
Last column: nearest neighbours and their distance in Å.
Space group P4mm (No. 99)
Inequivalent atoms, fractional coordinates:
Zr 0.0000 0.0000 0.0000  5 Mo 2.75-2.89, 4 Zr 2.99, 4 C 3.05
Mo 0.0000 0.0000 0.4251  4 C 2.19
Mo 0.5000 0.5000 0.6951  1 C 2.30
C 0.5000 0.5000 0.3394  5 Mo 2.19-2.30

Summary:
The value obtained for the total DFT energy (no corrections) is -27.3006 eV/atom. Its density of states at the Fermi level is 0.436 states/eV per atom.